DFT (GGA-PBE) results for a relaxed structure of GdYNi4.

Lattice parameters (Å, degrees): 5.069 5.069 5.069 60.00 60.00 60.00
Sites, in units of the cell vectors:
1 Ni 0.125 0.125 0.625
2 Ni 0.125 0.125 0.125
3 Ni 0.125 0.625 0.125
4 Gd 0.500 0.500 0.500
5 Ni 0.625 0.125 0.125
6 Y 0.750 0.750 0.750

Calculated values
- Energy of formation: -419 meV per atom
- Energy: -5.98 eV per atom
- Space-group type: F-43m, No. 216
- Crystal system: cubic
- ΔE to the lowest computed polymorph: 0.000 kcal/mol of atoms
- Total magnetic moment: 0.00 μB per formula unit